{"formula": "InFe2O2", "functional": "GGA+U", "state": "optimized geometry", "e_above_lowest_polymorph_mev_per_atom": 430, "space_group": "P4/mbm, No. 127", "lattice": [[7.037, 0.000, 0.000], [0.000, 7.037, 0.000], [0.000, 0.000, 2.787]], "species": ["In", "In", "Fe", "Fe", "Fe", "Fe", "O", "O", "O", "O"], "fractional_positions": [[0.000, 0.000, 0.000], [0.500, 0.500, 0.000], [0.131, 0.369, 0.000], [0.369, 0.869, 0.000], [0.631, 0.131, 0.000], [0.869, 0.631, 0.000], [0.129, 0.629, 0.500], [0.371, 0.129, 0.500], [0.629, 0.871, 0.500], [0.871, 0.371, 0.500]]}